Below is crystalline ScCuHgB at its relaxed geometry, with properties calculated at the PBE-GGA level.

Cell lengths 4.4371, 4.4371, 4.4371 Å; angles 60.00, 60.00, 60.00 degrees
With the nearest neighbours (Å) after each atom.
Sites, in units of the cell vectors:
B1 0.0000 0.0000 0.0000  4 Hg 2.72, 4 Cu 2.72
Cu1 0.7500 0.7500 0.7500  4 Sc 2.72, 4 B 2.72
Hg1 0.2500 0.2500 0.2500  4 B 2.72, 4 Sc 2.72
Sc1 0.5000 0.5000 0.5000  4 Cu 2.72, 4 Hg 2.72

Results
E_tot: -3.73 eV/atom
energy above the lowest structure with this stoichiometry: 179 meV per atom
crystal system: cubic

---

Below is crystalline DyYTl4Ni2 at its relaxed geometry, with properties calculated at the PBE-GGA level.

Cell lengths 7.5059, 5.7839, 5.7839 Å; angles 44.24, 90.00, 90.00 degrees
With the nearest neighbours (Å) after each atom.
Sites, in units of the cell vectors:
Dy1 0.0000 0.4304 0.4304  3 Ni 3.02-3.20, 4 Tl 3.21
Ni1 0.5000 0.2878 0.2878  6 Tl 2.73-2.77, 1 Y 3.02
Ni2 0.0000 0.7119 0.7119  6 Tl 2.73-2.77, 1 Dy 3.02
Tl1 0.2034 0.1412 0.1412  3 Ni 2.73-2.77
Tl2 0.7966 0.1412 0.1412  3 Ni 2.73-2.77
Tl3 0.2963 0.8590 0.8590  3 Ni 2.73-2.77
Tl4 0.7037 0.8590 0.8590  3 Ni 2.73-2.77
Y1 0.5000 0.5696 0.5696  3 Ni 3.02-3.20, 4 Tl 3.21

Results
E_tot: -4.14 eV/atom
crystal system: orthorhombic

---

Below is crystalline In2Au9 at its relaxed geometry, with properties calculated at the PBE-GGA level.

Cell lengths 2.9524, 2.9524, 31.8530 Å; angles 90.00, 90.00, 120.00 degrees
With the nearest neighbours (Å) after each atom.
Sites, in units of the cell vectors:
Au1 0.0000 0.0000 0.0000  12 Au 2.95
Au2 0.6667 0.3333 0.0755  12 Au 2.94-2.95
Au3 0.3333 0.6667 0.1506  12 Au 2.94-2.95
Au4 0.0000 0.0000 0.2259  12 Au 2.94-3.00
Au5 0.6667 0.3333 0.3033  9 Au 2.95-3.00, 3 In 3.11
Au6 0.3333 0.6667 0.6967  9 Au 2.95-3.00, 3 In 3.11
Au7 0.0000 0.0000 0.7741  12 Au 2.94-3.00
Au8 0.6667 0.3333 0.8494  12 Au 2.94-2.95
Au9 0.3333 0.6667 0.9245  12 Au 2.94-2.95
In1 0.3333 0.6667 0.3850  6 In 2.95, 3 Au 3.11
In2 0.6667 0.3333 0.6150  6 In 2.95, 3 Au 3.11

Results
E_tot: -3.13 eV/atom
crystal system: trigonal

---

Below is crystalline Na4Zn9Sb9 at its relaxed geometry, with properties calculated at the PBE-GGA level.

Cell lengths 14.5220, 14.5220, 17.3049 Å; angles 98.19, 98.19, 17.73 degrees
With the nearest neighbours (Å) after each atom.
Sites, in units of the cell vectors:
Na1 0.6355 0.6355 0.0200  6 Sb 3.27-3.48, 4 Zn 3.29-3.60
Na2 0.9864 0.9864 0.2472  6 Sb 3.19-3.31, 4 Zn 3.21-3.23
Na3 0.6573 0.6573 0.2859  6 Sb 3.26-3.35, 4 Zn 3.29-3.40
Na4 0.3618 0.3618 0.4410  3 Zn 3.30-3.44, 6 Sb 3.34-3.59
Na5 0.6382 0.6382 0.5590  3 Zn 3.30-3.44, 6 Sb 3.34-3.59
Na6 0.3427 0.3427 0.7141  6 Sb 3.26-3.35, 4 Zn 3.29-3.40
Na7 0.0136 0.0136 0.7528  6 Sb 3.19-3.31, 4 Zn 3.21-3.23
Na8 0.3645 0.3645 0.9800  6 Sb 3.27-3.48, 4 Zn 3.29-3.60
Sb1 0.9539 0.9539 0.0235  3 Zn 2.72-2.75, 1 Sb 2.88
Sb2 0.8112 0.8112 0.0738  5 Zn 2.74-2.79
Sb3 0.1879 0.1879 0.1600  5 Zn 2.76-2.79
Sb4 0.5539 0.5539 0.1789  3 Zn 2.68-2.76, 1 Sb 2.92
Sb5 0.4064 0.4064 0.2292  4 Zn 2.61-2.70
Sb6 0.7974 0.7974 0.3286  5 Zn 2.72-2.80
Sb7 0.5551 0.5551 0.3478  3 Zn 2.68-2.75, 1 Sb 2.92
Sb8 0.1861 0.1861 0.4286  5 Zn 2.73-2.82
Sb9 0.9545 0.9545 0.4535  3 Zn 2.71-2.72, 1 Sb 2.87
Sb10 0.0455 0.0455 0.5465  3 Zn 2.71-2.72, 1 Sb 2.87
Sb11 0.8139 0.8139 0.5714  5 Zn 2.73-2.82
Sb12 0.4449 0.4449 0.6522  3 Zn 2.68-2.75, 1 Sb 2.92
Sb13 0.2026 0.2026 0.6714  5 Zn 2.72-2.80
Sb14 0.5936 0.5936 0.7708  4 Zn 2.61-2.70
Sb15 0.4461 0.4461 0.8211  3 Zn 2.68-2.76, 1 Sb 2.92
Sb16 0.8121 0.8121 0.8400  5 Zn 2.76-2.79
Sb17 0.1888 0.1888 0.9262  5 Zn 2.74-2.79
Sb18 0.0461 0.0461 0.9765  3 Zn 2.72-2.75, 1 Sb 2.88
Zn1 0.2556 0.2556 0.0603  4 Sb 2.74-2.79, 4 Zn 3.04-3.06
Zn2 0.4603 0.4603 0.1137  4 Sb 2.70-2.76
Zn3 0.0910 0.0910 0.1282  4 Sb 2.68-2.76
Zn4 0.7465 0.7465 0.1781  4 Sb 2.77-2.80, 2 Zn 3.06
Zn5 0.8589 0.8589 0.2230  4 Sb 2.61-2.74
Zn6 0.2422 0.2422 0.3074  4 Sb 2.74-2.82
Zn7 0.4619 0.4619 0.3682  4 Sb 2.69-2.75
Zn8 0.0904 0.0904 0.4183  4 Sb 2.68-2.73
Zn9 0.7419 0.7419 0.4454  4 Sb 2.74-2.78, 2 Zn 2.92
Zn10 0.2581 0.2581 0.5546  4 Sb 2.74-2.78, 2 Zn 2.92
Zn11 0.9096 0.9096 0.5817  4 Sb 2.68-2.73
Zn12 0.5381 0.5381 0.6318  4 Sb 2.69-2.75
Zn13 0.7578 0.7578 0.6926  4 Sb 2.74-2.82
Zn14 0.1411 0.1411 0.7770  4 Sb 2.61-2.74
Zn15 0.2535 0.2535 0.8219  4 Sb 2.77-2.80, 2 Zn 3.06
Zn16 0.9090 0.9090 0.8718  4 Sb 2.68-2.76
Zn17 0.5397 0.5397 0.8863  4 Sb 2.70-2.76
Zn18 0.7444 0.7444 0.9397  4 Sb 2.74-2.79, 4 Zn 3.04-3.06

Results
E_tot: -2.64 eV/atom
crystal system: monoclinic

---

Below is crystalline LuScInCo at its relaxed geometry, with properties calculated at the PBE-GGA level.

Cell lengths 4.7471, 4.7471, 4.7471 Å; angles 60.00, 60.00, 60.00 degrees
With the nearest neighbours (Å) after each atom.
Sites, in units of the cell vectors:
Co1 0.7500 0.7500 0.7500  4 Lu 2.91, 4 In 2.91
In1 0.0000 0.0000 0.0000  4 Sc 2.91, 4 Co 2.91
Lu1 0.5000 0.5000 0.5000  4 Co 2.91, 4 Sc 2.91
Sc1 0.2500 0.2500 0.2500  4 In 2.91, 4 Lu 2.91

Results
E_tot: -5.33 eV/atom
energy above the lowest structure with this stoichiometry: 0 meV per atom
crystal system: cubic

---

Below is crystalline ThZn at its relaxed geometry, with properties calculated at the PBE-GGA level.

Cell lengths 8.2987, 6.7322, 5.4306 Å; angles 90.00, 90.00, 101.68 degrees
With the nearest neighbours (Å) after each atom.
Sites, in units of the cell vectors:
Th1 0.7231 0.1768 0.0000  4 Zn 3.08-3.18, 3 Th 3.29-3.39
Th2 0.2945 0.3184 0.0000  7 Zn 3.01-3.32
Th3 0.6504 0.6774 0.0000  3 Zn 3.22-3.30, 9 Th 3.29-3.54
Th4 0.5719 0.3781 0.5000  3 Zn 3.22-3.30, 9 Th 3.29-3.54
Th5 0.9278 0.7372 0.5000  7 Zn 3.01-3.32
Th6 0.4991 0.8787 0.5000  4 Zn 3.08-3.18, 3 Th 3.29-3.39
Zn1 0.0137 0.5487 0.0000  2 Zn 2.67-2.75
Zn2 0.2945 0.8246 0.0000  2 Zn 2.65-2.67
Zn3 0.0142 0.9571 0.0000  2 Zn 2.65-2.75
Zn4 0.2080 0.0984 0.5000  2 Zn 2.65-2.75
Zn5 0.9277 0.2310 0.5000  2 Zn 2.65-2.67
Zn6 0.2084 0.5068 0.5000  2 Zn 2.67-2.75

Results
E_tot: -4.33 eV/atom
energy of formation from the pure elements: 0.004 eV per atom
crystal system: monoclinic